A plane-wave DFT calculation with SCAN was carried out for TlZnTe2 at its PBEsol-relaxed geometry.

Cell and atoms, written as CIF:
```
data_TlZnTe2
_chemical_formula_sum 'Tl1 Zn1 Te2'
_cell_length_a 4.347
_cell_length_b 4.347
_cell_length_c 7.695
_cell_angle_alpha 81.28
_cell_angle_beta 81.28
_cell_angle_gamma 59.52
_symmetry_space_group_name_H-M 'P 1'
_symmetry_Int_Tables_number 1
loop_
_symmetry_equiv_pos_as_xyz
'x,y,z'
loop_
_atom_site_label
_atom_site_type_symbol
_atom_site_fract_x
_atom_site_fract_y
_atom_site_fract_z
Tl1 Tl 0.646 0.646 0.519
Te1 Te 0.275 0.275 0.721
Zn1 Zn 0.613 0.613 0.181
Te2 Te 0.966 0.966 0.080
```

Size of the total moment = 0.0 μB/f.u.
D(E_F) = 0.287 states/eV/atom
Uncorrected formation energy = -0.165 eV per atom
Space group = Cm, No. 8
Energy = -40.259 eV/atom

=====

A plane-wave DFT calculation with SCAN was carried out for Zr3TlTe at its PBEsol-relaxed geometry.

Cell and atoms, written as CIF:
```
data_Zr3TlTe
_chemical_formula_sum 'Zr3 Tl1 Te1'
_cell_length_a 5.211
_cell_length_b 5.211
_cell_length_c 5.211
_cell_angle_alpha 90.00
_cell_angle_beta 90.00
_cell_angle_gamma 90.00
_symmetry_space_group_name_H-M 'P 1'
_symmetry_Int_Tables_number 1
loop_
_symmetry_equiv_pos_as_xyz
'x,y,z'
loop_
_atom_site_label
_atom_site_type_symbol
_atom_site_fract_x
_atom_site_fract_y
_atom_site_fract_z
Zr1 Zr 0.500 0.000 0.000
Zr2 Zr 0.000 0.000 0.500
Tl1 Tl 0.500 0.500 0.500
Te1 Te 0.000 0.000 0.000
Zr3 Zr 0.000 0.500 0.000
```

Size of the total moment = 0.0 μB/f.u.
D(E_F) = 1.417 states/eV/atom
Uncorrected formation energy = 0.508 eV per atom
Offset from the most stable computed form = 0 meV per atom
Space group = Pm-3m, No. 221
Energy = -39.833 eV/atom

=====

A plane-wave DFT calculation with SCAN was carried out for ZrTl3Te at its PBEsol-relaxed geometry.

Cell and atoms, written as CIF:
```
data_ZrTl3Te
_chemical_formula_sum 'Zr1 Tl3 Te1'
_cell_length_a 5.636
_cell_length_b 5.636
_cell_length_c 5.636
_cell_angle_alpha 90.00
_cell_angle_beta 90.00
_cell_angle_gamma 90.00
_symmetry_space_group_name_H-M 'P 1'
_symmetry_Int_Tables_number 1
loop_
_symmetry_equiv_pos_as_xyz
'x,y,z'
loop_
_atom_site_label
_atom_site_type_symbol
_atom_site_fract_x
_atom_site_fract_y
_atom_site_fract_z
Zr1 Zr 0.500 0.500 0.500
Tl1 Tl 0.000 0.000 0.500
Te1 Te 0.000 0.000 0.000
Tl2 Tl 0.500 0.000 0.000
Tl3 Tl 0.000 0.500 0.000
```

Size of the total moment = 2.7 μB/f.u.
D(E_F) = 0.948 states/eV/atom
Uncorrected formation energy = 1.006 eV per atom
Space group = Pm-3m, No. 221
Energy = -55.999 eV/atom

=====

A plane-wave DFT calculation with SCAN was carried out for ZrTlTe2 at its PBEsol-relaxed geometry.

Cell and atoms, written as CIF:
```
data_ZrTlTe2
_chemical_formula_sum 'Zr1 Tl1 Te2'
_cell_length_a 3.658
_cell_length_b 5.069
_cell_length_c 5.491
_cell_angle_alpha 90.00
_cell_angle_beta 90.00
_cell_angle_gamma 90.00
_symmetry_space_group_name_H-M 'P 1'
_symmetry_Int_Tables_number 1
loop_
_symmetry_equiv_pos_as_xyz
'x,y,z'
loop_
_atom_site_label
_atom_site_type_symbol
_atom_site_fract_x
_atom_site_fract_y
_atom_site_fract_z
Zr1 Zr 0.500 0.000 0.500
Te1 Te 0.000 0.500 0.500
Tl1 Tl 0.500 0.500 0.000
Te2 Te 0.000 0.000 0.000
```

Size of the total moment = 1.1 μB/f.u.
D(E_F) = 0.563 states/eV/atom
Uncorrected formation energy = -0.176 eV per atom
Space group = Pmmm, No. 47
Energy = -44.566 eV/atom

=====

A plane-wave DFT calculation with SCAN was carried out for ZrTlTe2 at its PBEsol-relaxed geometry.

Cell and atoms, written as CIF:
```
data_ZrTlTe2
_chemical_formula_sum 'Zr1 Tl1 Te2'
_cell_length_a 3.702
_cell_length_b 3.905
_cell_length_c 8.639
_cell_angle_alpha 103.06
_cell_angle_beta 102.37
_cell_angle_gamma 90.00
_symmetry_space_group_name_H-M 'P 1'
_symmetry_Int_Tables_number 1
loop_
_symmetry_equiv_pos_as_xyz
'x,y,z'
loop_
_atom_site_label
_atom_site_type_symbol
_atom_site_fract_x
_atom_site_fract_y
_atom_site_fract_z
Te1 Te 0.070 0.570 0.140
Tl1 Tl 0.454 0.954 0.908
Zr1 Zr 0.701 0.701 0.401
Te2 Te 0.276 0.276 0.552
```

Size of the total moment = 0.7 μB/f.u.
D(E_F) = 0.454 states/eV/atom
Uncorrected formation energy = -0.598 eV per atom
Space group = Imm2, No. 44
Energy = -44.988 eV/atom

=====

A plane-wave DFT calculation with SCAN was carried out for ZrTlTe at its PBEsol-relaxed geometry.

Cell and atoms, written as CIF:
```
data_ZrTlTe
_chemical_formula_sum 'Zr1 Tl1 Te1'
_cell_length_a 4.895
_cell_length_b 4.895
_cell_length_c 4.895
_cell_angle_alpha 60.00
_cell_angle_beta 60.00
_cell_angle_gamma 60.00
_symmetry_space_group_name_H-M 'P 1'
_symmetry_Int_Tables_number 1
loop_
_symmetry_equiv_pos_as_xyz
'x,y,z'
loop_
_atom_site_label
_atom_site_type_symbol
_atom_site_fract_x
_atom_site_fract_y
_atom_site_fract_z
Tl1 Tl 0.500 0.500 0.500
Te1 Te 0.000 0.000 0.000
Zr1 Zr 0.250 0.250 0.250
```

Size of the total moment = 0.0 μB/f.u.
D(E_F) = 1.505 states/eV/atom
Uncorrected formation energy = -0.030 eV per atom
Space group = F-43m, No. 216
Energy = -46.799 eV/atom

=====

Copy entry 3 word for word.
A plane-wave DFT calculation with SCAN was carried out for ZrTl3Te at its PBEsol-relaxed geometry.

Cell and atoms, written as CIF:
```
data_ZrTl3Te
_chemical_formula_sum 'Zr1 Tl3 Te1'
_cell_length_a 5.636
_cell_length_b 5.636
_cell_length_c 5.636
_cell_angle_alpha 90.00
_cell_angle_beta 90.00
_cell_angle_gamma 90.00
_symmetry_space_group_name_H-M 'P 1'
_symmetry_Int_Tables_number 1
loop_
_symmetry_equiv_pos_as_xyz
'x,y,z'
loop_
_atom_site_label
_atom_site_type_symbol
_atom_site_fract_x
_atom_site_fract_y
_atom_site_fract_z
Zr1 Zr 0.500 0.500 0.500
Tl1 Tl 0.000 0.000 0.500
Te1 Te 0.000 0.000 0.000
Tl2 Tl 0.500 0.000 0.000
Tl3 Tl 0.000 0.500 0.000
```

Size of the total moment = 2.7 μB/f.u.
D(E_F) = 0.948 states/eV/atom
Uncorrected formation energy = 1.006 eV per atom
Space group = Pm-3m, No. 221
Energy = -55.999 eV/atom

=====

Question: The highest size of the total moment belongs to which entry?
Answer: ZrTl3Te

=====

Copy entry 5 word for word.
A plane-wave DFT calculation with SCAN was carried out for ZrTlTe2 at its PBEsol-relaxed geometry.

Cell and atoms, written as CIF:
```
data_ZrTlTe2
_chemical_formula_sum 'Zr1 Tl1 Te2'
_cell_length_a 3.702
_cell_length_b 3.905
_cell_length_c 8.639
_cell_angle_alpha 103.06
_cell_angle_beta 102.37
_cell_angle_gamma 90.00
_symmetry_space_group_name_H-M 'P 1'
_symmetry_Int_Tables_number 1
loop_
_symmetry_equiv_pos_as_xyz
'x,y,z'
loop_
_atom_site_label
_atom_site_type_symbol
_atom_site_fract_x
_atom_site_fract_y
_atom_site_fract_z
Te1 Te 0.070 0.570 0.140
Tl1 Tl 0.454 0.954 0.908
Zr1 Zr 0.701 0.701 0.401
Te2 Te 0.276 0.276 0.552
```

Size of the total moment = 0.7 μB/f.u.
D(E_F) = 0.454 states/eV/atom
Uncorrected formation energy = -0.598 eV per atom
Space group = Imm2, No. 44
Energy = -44.988 eV/atom